[1]
The following is a DFT calculation (PBE) of a geometry-optimized Er4PtBr5 structure.

a b c (Å): 9.622 9.622 8.490
angles (deg): 101.27 101.27 24.04
Atoms (fractional coordinates):
Er 0.004 0.004 0.217
Er 0.353 0.353 0.928
Er 0.647 0.647 0.072
Er 0.996 0.996 0.783
Pt 0.500 0.500 0.000
Br 0.169 0.169 0.323
Br 0.182 0.182 0.847
Br 0.500 0.500 0.500
Br 0.818 0.818 0.153
Br 0.831 0.831 0.677

## Properties
Total DFT energy (no corrections) ... -47.68 eV for the cell shown
Symmetry ... C2/m (12)
Spin magnetization ... 0.00 μB/f.u.



[2]
The following is a DFT calculation (PBE) of a geometry-optimized Er2PtBr structure.

a b c (Å): 8.027 8.027 8.027
angles (deg): 29.37 29.37 29.37
Atoms (fractional coordinates):
Er 0.000 0.000 0.000
Er 0.208 0.208 0.208
Pt 0.603 0.603 0.603
Br 0.432 0.432 0.432

## Properties
Total DFT energy (no corrections) ... -21.76 eV for the cell shown
Symmetry ... R3m (160)
Spin magnetization ... 0.00 μB/f.u.



[3]
The following is a DFT calculation (PBE) of a geometry-optimized Er2PuBr structure.

a b c (Å): 10.237 10.237 10.237
angles (deg): 20.04 20.04 20.04
Atoms (fractional coordinates):
Er 0.244 0.244 0.244
Er 0.756 0.756 0.756
Pu 0.000 0.000 0.000
Br 0.500 0.500 0.500

## Properties
Total DFT energy (no corrections) ... -26.91 eV for the cell shown
Symmetry ... R-3m (166)
Spin magnetization ... 5.93 μB/f.u.



[4]
The following is a DFT calculation (PBE) of a geometry-optimized ErPuBr6 structure.

a b c (Å): 7.476 7.476 7.030
angles (deg): 97.88 97.88 123.64
Atoms (fractional coordinates):
Er 0.000 0.000 0.000
Pu 0.500 0.500 0.500
Br 0.095 0.385 0.243
Br 0.248 0.248 0.756
Br 0.385 0.095 0.243
Br 0.615 0.905 0.757
Br 0.752 0.752 0.244
Br 0.905 0.615 0.757

## Properties
Total DFT energy (no corrections) ... -42.18 eV for the cell shown
Symmetry ... C2/m (12)
Spin magnetization ... 5.00 μB/f.u.
Energy above the most stable polymorph in this dataset ... 0.000 eV per atom



[5]
The following is a DFT calculation (PBE) of a geometry-optimized ErPuBr2 structure.

a b c (Å): 10.255 10.255 10.255
angles (deg): 20.84 20.84 20.84
Atoms (fractional coordinates):
Er 0.000 0.000 0.000
Pu 0.500 0.500 0.500
Br 0.094 0.094 0.094
Br 0.906 0.906 0.906

## Properties
Total DFT energy (no corrections) ... -25.63 eV for the cell shown
Symmetry ... R-3m (166)
Spin magnetization ... 6.49 μB/f.u.



[6]
The following is a DFT calculation (PBE) of a geometry-optimized ErPuBr6 structure.

a b c (Å): 7.733 7.733 7.733
angles (deg): 54.43 54.43 54.43
Atoms (fractional coordinates):
Er 0.000 0.000 0.000
Pu 0.500 0.500 0.500
Br 0.090 0.753 0.400
Br 0.247 0.600 0.910
Br 0.400 0.090 0.753
Br 0.600 0.910 0.247
Br 0.753 0.400 0.090
Br 0.910 0.247 0.600

## Properties
Total DFT energy (no corrections) ... -42.02 eV for the cell shown
Symmetry ... R-3 (148)
Spin magnetization ... 5.00 μB/f.u.
Energy above the most stable polymorph in this dataset ... 0.021 eV per atom



[7]
The following is a DFT calculation (PBE) of a geometry-optimized ErPuBr5 structure.

a b c (Å): 8.484 4.045 13.697
angles (deg): 90.00 94.62 90.00
Atoms (fractional coordinates):
Er 0.083 0.250 0.154
Er 0.917 0.750 0.846
Pu 0.409 0.750 0.358
Pu 0.591 0.250 0.642
Br 0.126 0.250 0.797
Br 0.144 0.250 0.363
Br 0.176 0.750 0.020
Br 0.348 0.750 0.572
Br 0.421 0.250 0.191
Br 0.579 0.750 0.809
Br 0.652 0.250 0.428
Br 0.824 0.250 0.980
Br 0.856 0.750 0.637
Br 0.874 0.750 0.203

## Properties
Total DFT energy (no corrections) ... -77.76 eV for the cell shown
Symmetry ... P2_1/m (11)
Spin magnetization ... 6.00 μB/f.u.



[8]
The following is a DFT calculation (PBE) of a geometry-optimized RbErBr4 structure.

a b c (Å): 7.024 7.778 9.255
angles (deg): 75.69 67.81 90.00
Atoms (fractional coordinates):
Rb 0.206 0.251 0.499
Rb 0.794 0.749 0.501
Er 0.000 0.500 0.000
Er 0.500 0.000 0.000
Br 0.126 0.161 0.110
Br 0.265 0.661 0.110
Br 0.285 0.553 0.694
Br 0.481 0.947 0.305
Br 0.519 0.053 0.695
Br 0.715 0.447 0.306
Br 0.735 0.339 0.890
Br 0.874 0.839 0.890

## Properties
Total DFT energy (no corrections) ... -46.16 eV for the cell shown
Symmetry ... P-1 (2)
Spin magnetization ... 0.00 μB/f.u.
Energy above the most stable polymorph in this dataset ... 0.040 eV per atom



[9]
The following is a DFT calculation (PBE) of a geometry-optimized RbErBr3 structure.

a b c (Å): 5.603 5.603 5.603
angles (deg): 90.00 90.00 90.00
Atoms (fractional coordinates):
Rb 0.000 0.000 0.000
Er 0.500 0.500 0.500
Br 0.000 0.500 0.500
Br 0.500 0.000 0.500
Br 0.500 0.500 0.000

## Properties
Total DFT energy (no corrections) ... -18.19 eV for the cell shown
Symmetry ... Pm-3m (221)
Spin magnetization ... 0.00 μB/f.u.



[10]
The following is a DFT calculation (PBE) of a geometry-optimized Rb5ErBr8 structure.

a b c (Å): 9.080 9.080 10.068
angles (deg): 118.86 118.86 72.20
Atoms (fractional coordinates):
Rb 0.000 0.000 0.000
Rb 0.400 0.402 0.616
Rb 0.498 0.002 0.998
Rb 0.598 0.600 0.384
Rb 0.998 0.502 0.002
Er 0.998 0.002 0.500
Br 0.148 0.791 0.674
Br 0.209 0.852 0.326
Br 0.232 0.238 0.754
Br 0.294 0.296 0.223
Br 0.704 0.706 0.777
Br 0.762 0.768 0.246
Br 0.788 0.152 0.676
Br 0.848 0.212 0.324

## Properties
Total DFT energy (no corrections) ... -48.54 eV for the cell shown
Symmetry ... C2 (5)
Spin magnetization ... 0.00 μB/f.u.



[11]
The following is a DFT calculation (PBE) of a geometry-optimized Rb4ErBr7 structure.

a b c (Å): 9.132 9.132 11.633
angles (deg): 104.12 104.12 35.65
Atoms (fractional coordinates):
Rb 0.012 0.012 0.203
Rb 0.253 0.253 0.823
Rb 0.747 0.747 0.177
Rb 0.988 0.988 0.797
Er 0.500 0.500 0.500
Br 0.000 0.000 0.500
Br 0.146 0.146 0.039
Br 0.385 0.385 0.285
Br 0.387 0.387 0.631
Br 0.613 0.613 0.369
Br 0.615 0.615 0.715
Br 0.854 0.854 0.961

## Properties
Total DFT energy (no corrections) ... -41.52 eV for the cell shown
Symmetry ... C2/m (12)
Spin magnetization ... 0.17 μB/f.u.



[12]
The following is a DFT calculation (PBE) of a geometry-optimized RbErBr4 structure.

a b c (Å): 9.829 9.829 7.323
angles (deg): 98.33 98.33 117.80
Atoms (fractional coordinates):
Rb 0.244 0.756 0.750
Rb 0.756 0.244 0.250
Er 0.066 0.934 0.250
Er 0.934 0.066 0.750
Br 0.001 0.355 0.696
Br 0.097 0.212 0.136
Br 0.212 0.097 0.636
Br 0.355 0.001 0.196
Br 0.645 0.999 0.804
Br 0.788 0.903 0.364
Br 0.903 0.788 0.864
Br 0.999 0.645 0.304

## Properties
Total DFT energy (no corrections) ... -46.64 eV for the cell shown
Symmetry ... C2/c (15)
Spin magnetization ... 0.00 μB/f.u.
Energy above the most stable polymorph in this dataset ... 0.000 eV per atom



[13]
The following is a DFT calculation (PBE) of a geometry-optimized Rb6Er3Br14 structure.

a b c (Å): 12.336 12.336 7.598
angles (deg): 90.00 90.00 120.00
Atoms (fractional coordinates):
Rb 0.041 0.577 0.000
Rb 0.318 0.103 0.460
Rb 0.423 0.463 0.000
Rb 0.537 0.959 0.000
Rb 0.785 0.682 0.460
Rb 0.897 0.215 0.460
Er 0.000 0.000 0.893
Er 0.333 0.667 0.464
Er 0.667 0.333 0.812
Br 0.000 0.000 0.244
Br 0.083 0.860 0.751
Br 0.140 0.223 0.751
Br 0.187 0.453 0.275
Br 0.266 0.813 0.275
Br 0.333 0.667 0.811
Br 0.451 0.195 0.019
Br 0.528 0.407 0.601
Br 0.547 0.734 0.275
Br 0.593 0.122 0.601
Br 0.743 0.549 0.019
Br 0.777 0.917 0.751
Br 0.805 0.257 0.019
Br 0.878 0.472 0.601

## Properties
Total DFT energy (no corrections) ... -82.54 eV for the cell shown
Symmetry ... P3 (143)
Spin magnetization ... 0.51 μB/f.u.



[14]
The following is a DFT calculation (PBE) of a geometry-optimized Rb3Er2Br9 structure.

a b c (Å): 10.248 10.248 10.248
angles (deg): 83.35 83.35 83.35
Atoms (fractional coordinates):
Rb 0.083 0.417 0.750
Rb 0.250 0.917 0.583
Rb 0.417 0.750 0.083
Rb 0.583 0.250 0.917
Rb 0.750 0.083 0.417
Rb 0.917 0.583 0.250
Er 0.152 0.152 0.152
Er 0.348 0.348 0.348
Er 0.652 0.652 0.652
Er 0.848 0.848 0.848
Br 0.080 0.918 0.269
Br 0.082 0.731 0.920
Br 0.093 0.250 0.407
Br 0.231 0.582 0.420
Br 0.250 0.407 0.093
Br 0.269 0.080 0.918
Br 0.407 0.093 0.250
Br 0.418 0.580 0.769
Br 0.420 0.231 0.582
Br 0.580 0.769 0.418
Br 0.582 0.420 0.231
Br 0.593 0.907 0.750
Br 0.731 0.920 0.082
Br 0.750 0.593 0.907
Br 0.769 0.418 0.580
Br 0.907 0.750 0.593
Br 0.918 0.269 0.080
Br 0.920 0.082 0.731

## Properties
Total DFT energy (no corrections) ... -105.73 eV for the cell shown
Symmetry ... R-3c (167)
Spin magnetization ... 0.00 μB/f.u.



[15]
The following is a DFT calculation (PBE) of a geometry-optimized Rb3ErBr8 structure.

a b c (Å): 9.656 9.656 9.656
angles (deg): 132.55 132.55 69.37
Atoms (fractional coordinates):
Rb 0.000 0.000 0.000
Rb 0.250 0.750 0.500
Rb 0.750 0.250 0.500
Er 0.500 0.500 0.000
Br 0.173 0.173 0.564
Br 0.173 0.609 0.000
Br 0.391 0.391 0.564
Br 0.391 0.827 0.000
Br 0.609 0.173 0.000
Br 0.609 0.609 0.436
Br 0.827 0.391 0.000
Br 0.827 0.827 0.436

## Properties
Total DFT energy (no corrections) ... -36.96 eV for the cell shown
Symmetry ... I4/mmm (139)
Spin magnetization ... 0.69 μB/f.u.



[16]
The following is a DFT calculation (PBE) of a geometry-optimized RbEr2Br7 structure.

a b c (Å): 8.505 8.505 5.554
angles (deg): 90.00 90.00 116.48
Atoms (fractional coordinates):
Rb 0.000 0.000 0.000
Er 0.303 0.697 0.500
Er 0.697 0.303 0.500
Br 0.048 0.328 0.500
Br 0.298 0.702 0.000
Br 0.328 0.048 0.500
Br 0.500 0.500 0.500
Br 0.672 0.952 0.500
Br 0.702 0.298 0.000
Br 0.952 0.672 0.500

## Properties
Total DFT energy (no corrections) ... -39.79 eV for the cell shown
Symmetry ... Cmmm (65)
Spin magnetization ... 0.00 μB/f.u.



[17]
The following is a DFT calculation (PBE) of a geometry-optimized RbErSnBr6 structure.

a b c (Å): 7.573 7.573 7.537
angles (deg): 90.00 90.00 120.00
Atoms (fractional coordinates):
Rb 0.000 0.000 0.000
Er 0.667 0.333 0.500
Sn 0.333 0.667 0.500
Br 0.381 0.021 0.716
Br 0.381 0.360 0.284
Br 0.640 0.021 0.284
Br 0.640 0.619 0.716
Br 0.979 0.360 0.716
Br 0.979 0.619 0.284

## Properties
Total DFT energy (no corrections) ... -33.15 eV for the cell shown
Symmetry ... P312 (149)
Spin magnetization ... 0.00 μB/f.u.



[18]
The following is a DFT calculation (PBE) of a geometry-optimized RbErSn2Br8 structure.

a b c (Å): 6.816 7.305 9.433
angles (deg): 85.55 87.68 87.39
Atoms (fractional coordinates):
Rb 0.000 0.000 0.000
Er 0.000 0.000 0.500
Sn 0.485 0.481 0.252
Sn 0.515 0.519 0.748
Br 0.228 0.317 0.472
Br 0.235 0.837 0.294
Br 0.253 0.857 0.712
Br 0.270 0.377 0.036
Br 0.730 0.623 0.964
Br 0.747 0.143 0.288
Br 0.765 0.163 0.706
Br 0.772 0.683 0.528

## Properties
Total DFT energy (no corrections) ... -42.20 eV for the cell shown
Symmetry ... P-1 (2)
Spin magnetization ... 0.00 μB/f.u.



[19]
The following is a DFT calculation (PBE) of a geometry-optimized RbSrErBr6 structure.

a b c (Å): 7.710 7.710 14.682
angles (deg): 90.00 90.00 120.00
Atoms (fractional coordinates):
Rb 0.000 0.000 0.000
Rb 0.000 0.000 0.500
Sr 0.333 0.667 0.250
Sr 0.667 0.333 0.750
Er 0.333 0.667 0.750
Er 0.667 0.333 0.250
Br 0.027 0.385 0.639
Br 0.027 0.642 0.861
Br 0.358 0.385 0.861
Br 0.358 0.973 0.639
Br 0.385 0.027 0.139
Br 0.385 0.358 0.361
Br 0.615 0.642 0.639
Br 0.615 0.973 0.861
Br 0.642 0.027 0.361
Br 0.642 0.615 0.139
Br 0.973 0.358 0.139
Br 0.973 0.615 0.361

## Properties
Total DFT energy (no corrections) ... -69.71 eV for the cell shown
Symmetry ... P-31c (163)
Spin magnetization ... 0.00 μB/f.u.



[20]
The following is a DFT calculation (PBE) of a geometry-optimized Rb2ErTlBr6 structure.

a b c (Å): 8.039 8.531 14.064
angles (deg): 90.00 124.56 90.00
Atoms (fractional coordinates):
Rb 0.222 0.076 0.250
Rb 0.222 0.424 0.750
Rb 0.778 0.576 0.250
Rb 0.778 0.924 0.750
Er 0.500 0.000 0.000
Er 0.500 0.500 0.500
Tl 0.000 0.000 0.500
Tl 0.000 0.500 0.000
Br 0.165 0.176 0.947
Br 0.165 0.324 0.447
Br 0.271 0.725 0.939
Br 0.271 0.775 0.439
Br 0.385 0.036 0.773
Br 0.385 0.464 0.273
Br 0.615 0.536 0.727
Br 0.615 0.964 0.227
Br 0.729 0.225 0.561
Br 0.729 0.275 0.061
Br 0.835 0.676 0.553
Br 0.835 0.824 0.053

## Properties
Total DFT energy (no corrections) ... -70.98 eV for the cell shown
Symmetry ... P2_1/c (14)
Spin magnetization ... 0.00 μB/f.u.